1.
This record from Alexandria describes crystalline Cu2NiSe4 at its relaxed geometry. The functional is GGA-PBE.

Cell: 4.8922 4.8922 11.6009 Å, 90.00 90.00 90.00°
Closest atoms and distances in Å follow each position.
Space group I4/mmm (No. 139)
Asymmetric unit:
Cu 0.0000 0.0000 0.1009 [4 per cell]  1 Se 2.30, 1 Cu 2.34
Ni 0.0000 0.0000 0.5000 [2 per cell]  6 Se 2.33-2.45
Se 0.0000 0.0000 0.2993 [4 per cell]  1 Cu 2.30, 1 Ni 2.33
Se 0.0000 0.5000 0.0000 [4 per cell]  2 Ni 2.45, 4 Cu 2.71

## Properties
Formation energy from raw total energies (eV/f.u.): 1.8

2.
This record from Alexandria describes crystalline Cu2NiSe at its relaxed geometry. The functional is GGA-PBE.

Cell: 6.9160 6.9160 4.8074 Å, 90.00 90.00 90.00°
Closest atoms and distances in Å follow each position.
Space group I-42d (No. 122)
Asymmetric unit:
Cu 0.2450 0.7500 0.1250 [8 per cell]  2 Cu 2.40, 2 Se 2.49, 2 Ni 2.54
Ni 0.0000 0.0000 0.5000 [4 per cell]  2 Se 2.40, 4 Cu 2.54
Se 0.0000 0.0000 0.0000 [4 per cell]  2 Ni 2.40, 4 Cu 2.49

## Properties
Formation energy from raw total energies (eV/f.u.): 0.9